Compound: PmAs2
Source: the Alexandria database
Functional: PBE
Structure: relaxed Values from VASP.

Offset from the most stable computed form, eV per atom: 0.000
Formation enthalpy at 0 K, eV/atom: -1.00

```
&SYSTEM
  ibrav = 0, nat = 12, ntyp = 2
/
ATOMIC_SPECIES
Pm 145.00 Pm.upf
As 74.92 As.upf
ATOMIC_POSITIONS angstrom
Pm -0.726 1.298 3.627
Pm -2.251 2.143 8.674
Pm 3.312 4.738 1.421
Pm 1.787 5.583 6.468
As -0.272 4.287 4.547
As -1.797 6.034 9.594
As -0.150 0.980 6.775
As 1.374 2.461 1.727
As -0.313 4.420 8.368
As 1.211 5.901 3.320
As 2.858 0.847 0.501
As 1.333 2.594 5.548
CELL_PARAMETERS angstrom
4.110 0.000 0.000
0.000 6.881 0.000
-3.049 0.000 10.095
```



Compound: CaSnPt
Source: the Alexandria database
Functional: PBE
Structure: relaxed Values from VASP.

Formation enthalpy at 0 K, eV/atom: 0.17

```
&SYSTEM
  ibrav = 0, nat = 6, ntyp = 3
/
ATOMIC_SPECIES
Ca 40.08 Ca.upf
Sn 118.71 Sn.upf
Pt 195.08 Pt.upf
ATOMIC_POSITIONS angstrom
Ca 0.000 0.000 0.000
Ca 1.544 1.544 7.778
Sn 0.000 0.000 10.249
Sn 1.544 1.544 2.471
Pt 0.000 0.000 12.889
Pt 1.544 1.544 5.111
CELL_PARAMETERS angstrom
3.087 0.000 0.000
0.000 3.087 0.000
0.000 0.000 15.557
```



Compound: YSn2Rh
Source: the Alexandria database
Functional: PBE
Structure: relaxed Values from VASP.

Formation enthalpy at 0 K, eV/atom: -0.41

```
&SYSTEM
  ibrav = 0, nat = 16, ntyp = 3
/
ATOMIC_SPECIES
Y 88.91 Y.upf
Sn 118.71 Sn.upf
Rh 102.91 Rh.upf
ATOMIC_POSITIONS angstrom
Y 0.000 0.000 0.000
Y 0.000 3.513 3.513
Y 3.513 0.000 3.513
Y 3.513 3.513 0.000
Sn 1.756 1.756 1.756
Sn 1.756 1.756 5.269
Sn 1.756 5.269 1.756
Sn 1.756 5.269 5.269
Sn 5.269 1.756 1.756
Sn 5.269 1.756 5.269
Sn 5.269 5.269 1.756
Sn 5.269 5.269 5.269
Rh 0.000 0.000 3.513
Rh 0.000 3.513 0.000
Rh 3.513 0.000 0.000
Rh 3.513 3.513 3.513
CELL_PARAMETERS angstrom
7.026 0.000 0.000
0.000 7.026 0.000
0.000 0.000 7.026
```



Compound: FeP2PtCl
Source: the Alexandria database
Functional: PBE
Structure: relaxed Values from VASP.

Offset from the most stable computed form, eV per atom: 0.267
Uncorrected formation energy, eV/atom: 0.902

```
&SYSTEM
  ibrav = 0, nat = 5, ntyp = 4
/
ATOMIC_SPECIES
Fe 55.84 Fe.upf
P 30.97 P.upf
Pt 195.08 Pt.upf
Cl 35.45 Cl.upf
ATOMIC_POSITIONS angstrom
Fe 0.000 0.000 0.000
P 0.000 2.325 2.480
P 2.325 0.000 2.480
Pt 2.325 2.325 2.480
Cl 2.325 2.325 0.000
CELL_PARAMETERS angstrom
4.650 0.000 0.000
0.000 4.650 0.000
0.000 0.000 4.960
```



Compound: LaPm3Nd2Sm6
Source: the Alexandria database
Functional: PBE
Structure: relaxed Values from VASP.

Formation enthalpy at 0 K, eV/atom: 0.01

```
&SYSTEM
  ibrav = 0, nat = 12, ntyp = 4
/
ATOMIC_SPECIES
La 138.91 La.upf
Pm 145.00 Pm.upf
Nd 144.24 Nd.upf
Sm 150.36 Sm.upf
ATOMIC_POSITIONS angstrom
La 0.000 0.000 0.000
Pm 2.108 3.658 5.960
Pm 2.108 0.000 5.960
Pm 2.108 -3.658 5.960
Nd 3.169 1.829 0.000
Nd 3.169 -1.829 0.000
Sm 1.056 1.833 2.998
Sm -0.004 0.000 8.919
Sm 1.056 -1.833 2.998
Sm 3.160 1.833 8.922
Sm 4.219 0.000 3.001
Sm 3.160 -1.833 8.922
CELL_PARAMETERS angstrom
3.169 -5.490 0.000
3.169 5.490 0.000
-2.122 0.000 11.919
```



Compound: Sn2SbI
Source: the Alexandria database
Functional: PBE
Structure: relaxed Values from VASP.

Offset from the most stable computed form, eV per atom: 0.126
Uncorrected formation energy, eV/atom: 0.004

```
&SYSTEM
  ibrav = 0, nat = 4, ntyp = 3
/
ATOMIC_SPECIES
Sn 118.71 Sn.upf
Sb 121.76 Sb.upf
I 126.90 I.upf
ATOMIC_POSITIONS angstrom
Sn 0.000 0.000 1.782
Sn 0.000 0.000 6.449
Sb 1.937 1.937 0.000
I 1.937 1.937 4.115
CELL_PARAMETERS angstrom
3.875 0.000 0.000
0.000 3.875 0.000
0.000 0.000 8.231
```



Compound: CdAsP2
Source: the Alexandria database
Functional: PBE
Structure: relaxed Values from VASP.

Offset from the most stable computed form, eV per atom: 0.098
Formation enthalpy at 0 K, eV/atom: 0.25

```
&SYSTEM
  ibrav = 0, nat = 8, ntyp = 3
/
ATOMIC_SPECIES
Cd 112.41 Cd.upf
As 74.92 As.upf
P 30.97 P.upf
ATOMIC_POSITIONS angstrom
Cd 0.000 0.000 0.000
Cd 5.347 1.600 0.000
As 1.272 0.000 2.578
As 6.619 1.600 2.578
P -0.756 1.600 3.222
P 3.495 1.600 2.029
P 4.590 0.000 3.222
P 8.842 0.000 2.029
CELL_PARAMETERS angstrom
10.693 0.000 0.000
0.000 3.199 0.000
-2.805 0.000 4.904
```



Number 1: magnetization 0.00 Bohr magnetons per cell, electronic total energy -68.17 eV/cell. Number 2: magnetization 0.00 Bohr magnetons per cell, electronic total energy -23.09 eV/cell. Number 3: magnetization 0.00 Bohr magnetons per cell, electronic total energy -93.78 eV/cell. Number 4: magnetization 3.43 Bohr magnetons per cell, electronic total energy -22.66 eV/cell. Number 5: magnetization 0.00 Bohr magnetons per cell, electronic total energy -56.86 eV/cell. Number 6: magnetization 0.00 Bohr magnetons per cell, electronic total energy -13.66 eV/cell. Number 7: magnetization 0.00 Bohr magnetons per cell, electronic total energy -30.78 eV/cell.